Entry 1:
Li2In3Pd6: optimized geometry, PBE.

Calculated values
total moment: 0.000 μB per atom
E_form: -0.334 eV/atom

a = 4.087 Å, b = 4.087 Å, c = 11.490 Å
α = 100.24°, β = 100.24°, γ = 90.00°
Fractional positions:
1 Li 0.453 0.453 0.906
2 Li 0.547 0.547 0.094
3 In 0.000 0.000 0.000
4 In 0.813 0.813 0.626
5 In 0.187 0.187 0.374
6 Pd 0.100 0.600 0.200
7 Pd 0.600 0.100 0.200
8 Pd 0.900 0.400 0.800
9 Pd 0.400 0.900 0.800
10 Pd 0.693 0.693 0.385
11 Pd 0.307 0.307 0.615

---

Entry 2:
SrGdTlBi: optimized geometry, PBE.

Calculated values
total moment: 1.835 μB per atom
E_form: -0.474 eV/atom

a = 5.660 Å, b = 5.660 Å, c = 5.660 Å
α = 60.00°, β = 60.00°, γ = 60.00°
Fractional positions:
1 Sr 0.750 0.750 0.750
2 Tl 0.000 0.000 0.000
3 Gd 0.250 0.250 0.250
4 Bi 0.500 0.500 0.500

---

Entry 3:
Be2FeTe: optimized geometry, PBE.

Calculated values
ΔE_f (raw): 0.3289 eV/atom
total moment: 0.263 μB per atom

a = 3.042 Å, b = 3.369 Å, c = 5.757 Å
α = 72.93°, β = 90.00°, γ = 90.00°
Fractional positions:
1 Be 0.000 0.966 0.194
2 Be 0.500 0.488 0.150
3 Te 0.500 0.713 0.698
4 Fe 0.000 0.333 0.459